# CaGdHg (PBE-GGA, optimized geometry)
# energy	-5.65	eV/atom
# distance to the lowest polymorph of the same formula	0.132	eV/atom
# E_form	-0.1848	eV/atom
data_CaGdHg
_chemical_formula_sum 'Ca1 Gd1 Hg1'
_cell_length_a 5.2212
_cell_length_b 5.2212
_cell_length_c 3.8426
_cell_angle_alpha 90.00
_cell_angle_beta 90.00
_cell_angle_gamma 120.00
_symmetry_space_group_name_H-M 'P 3 m 1'
_symmetry_Int_Tables_number 156
loop_
_symmetry_equiv_pos_as_xyz
'x,y,z'
'-y,x-y,z'
'-x+y,-x,z'
'-y,-x,z'
'-x+y,y,z'
'x,x-y,z'
loop_
_atom_site_label
_atom_site_type_symbol
_atom_site_fract_x
_atom_site_fract_y
_atom_site_fract_z
Ca1 Ca 0.0000 0.0000 0.0000
Gd1 Gd 0.6667 0.3333 0.4648
Hg1 Hg 0.3333 0.6667 0.7064